Here is ReSi2Br after structural relaxation from the Alexandria database. Energies are from PBE-GGA.

Computed properties:
Formation energy (no corrections): 1.174 eV per atom
Spin magnetization: 0.0 μB/f.u.

Geometry as CIF:
```
data_ReSi2Br
_chemical_formula_sum 'Re4 Si8 Br4'
_space_group_name_H-M_alt 'F m -3 m'
_space_group_IT_number 225
_space_group_name_Hall '-F 4 2 3'
_cell_length_a 6.376
_cell_length_b 6.376
_cell_length_c 6.376
_cell_angle_alpha 90.00
_cell_angle_beta 90.00
_cell_angle_gamma 90.00
loop_
_atom_site_label
_atom_site_fract_x
_atom_site_fract_y
_atom_site_fract_z
Re1 0.000 0.000 0.000
Si1 0.250 0.250 0.250
Br1 0.000 0.000 0.500
```

Here is ReSi2Br after structural relaxation from the Alexandria database. Energies are from PBE-GGA.

Computed properties:
Formation energy (no corrections): 0.463 eV per atom
Spin magnetization: 0.0 μB/f.u.

Geometry as CIF:
```
data_ReSi2Br
_chemical_formula_sum 'Re2 Si4 Br2'
_space_group_name_H-M_alt 'C m m m'
_space_group_IT_number 65
_space_group_name_Hall '-C 2 2'
_cell_length_a 3.308
_cell_length_b 4.447
_cell_length_c 11.282
_cell_angle_alpha 90.00
_cell_angle_beta 90.00
_cell_angle_gamma 90.00
loop_
_atom_site_label
_atom_site_fract_x
_atom_site_fract_y
_atom_site_fract_z
Re1 0.000 0.000 0.000
Si1 0.000 0.500 0.170
Br1 0.000 0.000 0.500
```

Here is ReSi2Br after structural relaxation from the Alexandria database. Energies are from PBE-GGA.

Computed properties:
Formation energy (no corrections): 0.866 eV per atom
Spin magnetization: 0.0 μB/f.u.

Geometry as CIF:
```
data_ReSi2Br
_chemical_formula_sum 'Re2 Si4 Br2'
_space_group_name_H-M_alt 'C m m m'
_space_group_IT_number 65
_space_group_name_Hall '-C 2 2'
_cell_length_a 5.562
_cell_length_b 7.427
_cell_length_c 3.025
_cell_angle_alpha 90.00
_cell_angle_beta 90.00
_cell_angle_gamma 90.00
loop_
_atom_site_label
_atom_site_fract_x
_atom_site_fract_y
_atom_site_fract_z
Re1 0.000 0.000 0.000
Si1 0.250 0.250 0.500
Br1 0.000 0.500 0.000
```

Here is ReSi2Br after structural relaxation from the Alexandria database. Energies are from PBE-GGA.

Computed properties:
Formation energy (no corrections): 0.797 eV per atom
Spin magnetization: 0.0 μB/f.u.

Geometry as CIF:
```
data_ReSi2Br
_chemical_formula_sum 'Re2 Si4 Br2'
_space_group_name_H-M_alt 'I m m m'
_space_group_IT_number 71
_space_group_name_Hall '-I 2 2'
_cell_length_a 2.901
_cell_length_b 4.728
_cell_length_c 10.626
_cell_angle_alpha 90.00
_cell_angle_beta 90.00
_cell_angle_gamma 90.00
loop_
_atom_site_label
_atom_site_fract_x
_atom_site_fract_y
_atom_site_fract_z
Re1 0.000 0.000 0.000
Si1 0.000 0.500 0.305
Br1 0.000 0.000 0.500
```

Here is ReSi2Br after structural relaxation from the Alexandria database. Energies are from PBE-GGA.

Computed properties:
Formation energy (no corrections): 0.915 eV per atom
Spin magnetization: 0.0 μB/f.u.

Geometry as CIF:
```
data_ReSi2Br
_chemical_formula_sum 'Re2 Si4 Br2'
_space_group_name_H-M_alt 'I 4/m m m'
_space_group_IT_number 139
_space_group_name_Hall '-I 4 2'
_cell_length_a 4.065
_cell_length_b 4.065
_cell_length_c 7.552
_cell_angle_alpha 90.00
_cell_angle_beta 90.00
_cell_angle_gamma 90.00
loop_
_atom_site_label
_atom_site_fract_x
_atom_site_fract_y
_atom_site_fract_z
Re1 0.000 0.000 0.000
Si1 0.000 0.500 0.250
Br1 0.000 0.000 0.500
```

Here is ReSi2Br after structural relaxation from the Alexandria database. Energies are from PBE-GGA.

Computed properties:
Formation energy (no corrections): 0.388 eV per atom
Spin magnetization: 0.0 μB/f.u.

Geometry as CIF:
```
data_ReSi2Br
_chemical_formula_sum 'Re2 Si4 Br2'
_space_group_name_H-M_alt 'C 1 m 1'
_space_group_IT_number 8
_space_group_name_Hall 'C -2y'
_cell_length_a 7.672
_cell_length_b 3.315
_cell_length_c 6.744
_cell_angle_alpha 90.00
_cell_angle_beta 102.77
_cell_angle_gamma 90.00
loop_
_atom_site_label
_atom_site_fract_x
_atom_site_fract_y
_atom_site_fract_z
Re1 0.000 0.000 0.000
Si1 0.021 0.500 0.718
Si2 0.272 0.000 0.872
Br1 0.254 0.500 0.260
```

Here is ReSiBr4 after structural relaxation from the Alexandria database. Energies are from PBE-GGA.

Computed properties:
Formation energy (no corrections): 1.706 eV per atom
Spin magnetization: 4.3 μB/f.u.

Geometry as CIF:
```
data_ReSiBr4
_chemical_formula_sum 'Re4 Si4 Br16'
_space_group_name_H-M_alt 'F -4 3 m'
_space_group_IT_number 216
_space_group_name_Hall 'F -4 2 3'
_cell_length_a 8.741
_cell_length_b 8.741
_cell_length_c 8.741
_cell_angle_alpha 90.00
_cell_angle_beta 90.00
_cell_angle_gamma 90.00
loop_
_atom_site_label
_atom_site_fract_x
_atom_site_fract_y
_atom_site_fract_z
Re1 0.000 0.000 0.000
Si1 0.250 0.250 0.750
Br1 0.125 0.125 0.375
```

Here is ReSi2Br after structural relaxation from the Alexandria database. Energies are from PBE-GGA.

Computed properties:
Formation energy (no corrections): 0.256 eV per atom
Spin magnetization: 0.0 μB/f.u.

Geometry as CIF:
```
data_ReSi2Br
_chemical_formula_sum 'Re3 Si6 Br3'
_space_group_name_H-M_alt 'R -3 m'
_space_group_IT_number 166
_space_group_name_Hall '-R 3 2"'
_cell_length_a 3.2063
_cell_length_b 3.2063
_cell_length_c 23.0229
_cell_angle_alpha 90.00
_cell_angle_beta 90.00
_cell_angle_gamma 120.00
loop_
_atom_site_label
_atom_site_fract_x
_atom_site_fract_y
_atom_site_fract_z
Re1 0.0000 0.0000 0.0000
Si1 0.0000 0.0000 0.2610
Br1 0.0000 0.0000 0.5000
```